No. 1
Computed, not measured: an optimized crystal structure of InPN3 at the PBEsol level of DFT.

## Properties
energy relative to the elements, uncorrected: 650 meV/atom

abc: 3.594 3.594 3.594
angles: 90.00 90.00 90.00
Space group Pm-3m (No. 221)
Unique sites:
In 0.000 0.000 0.000
P 0.500 0.500 0.500
N 0.000 0.500 0.500

=====

No. 2
Computed, not measured: an optimized crystal structure of ReRuBr2 at the PBEsol level of DFT.

## Properties
energy relative to the elements, uncorrected: 1241 meV/atom
energy above the lowest structure with this stoichiometry: 0.000 eV per atom

abc: 2.907 5.399 8.646
angles: 90.00 90.00 90.00
Space group Cmmm (No. 65)
Unique sites:
Re 0.000 0.000 0.000
Ru 0.000 0.000 0.500
Br 0.000 0.500 0.251

=====

No. 3
Computed, not measured: an optimized crystal structure of Na3UO4 at the PBEsol level of DFT.

## Properties
energy relative to the elements, uncorrected: -2357 meV/atom

abc: 6.730 9.332 3.443
angles: 90.00 90.00 90.00
Space group Cmmm (No. 65)
Unique sites:
Na 0.000 0.000 0.000
Na 0.250 0.250 0.500
U 0.000 0.500 0.000
O 0.000 0.284 0.000
O 0.216 0.500 0.500

=====

No. 4
Computed, not measured: an optimized crystal structure of BiOsWCl2 at the PBEsol level of DFT.

## Properties
energy relative to the elements, uncorrected: 1450 meV/atom

abc: 4.463 4.463 5.953
angles: 90.00 90.00 90.00
Space group P4/mmm (No. 123)
Unique sites:
Bi 0.000 0.000 0.000
Os 0.000 0.000 0.500
W 0.500 0.500 0.000
Cl 0.000 0.500 0.500